Ac3Sn2Rh3 | PBE | relaxed

The formation energy comes out at -0.709 eV/atom. As for the calculated volume: 418.2 Å³/cell. The value obtained for the energy is -6.007 eV/atom. The value obtained for the density of states at the Fermi level is 11.3 states/eV per cell.

Geometry as POSCAR:
```
Ac3Sn2Rh3
1.0
-1.144 -0.063 -4.303
5.444 -3.743 0.911
-8.627 -11.946 2.469
Rh Ac Sn
6 6 4
direct
0.395 0.789 0.539
0.684 0.368 0.750
0.395 0.789 0.961
0.316 0.632 0.250
0.605 0.211 0.461
0.605 0.211 0.039
0.344 0.688 0.750
0.068 0.136 0.887
0.068 0.136 0.613
0.932 0.864 0.113
0.932 0.864 0.387
0.656 0.312 0.250
0.778 0.556 0.580
0.222 0.444 0.420
0.222 0.444 0.080
0.778 0.556 0.920
```